Record 1
Entry from Alexandria: MnTc2GeN after structural relaxation (PBE-GGA).

Output
Total magnetic moment   0.42 μB per atom
Raw total energy   -43.13 eV for the cell shown
Crystal system   tetragonal
Density of states at the Fermi level   3.3 states/eV per cell
Space-group type   P4/mmm (123)

abc: 4.092 4.092 3.769
angles: 90.00 90.00 90.00
Element x y z (fractional)
Mn1 0.000 0.000 0.000
Tc1 0.000 0.500 0.500
Tc2 0.500 0.000 0.500
Ge1 0.500 0.500 0.000
N1 0.000 0.000 0.500

Record 2
Entry from Alexandria: MnGeTe2N after structural relaxation (PBE-GGA).

Output
Total magnetic moment   0.31 μB per atom
Raw total energy   -27.29 eV for the cell shown
Crystal system   tetragonal
Density of states at the Fermi level   2.2 states/eV per cell
Space-group type   P4/mmm (123)

abc: 5.408 5.408 3.490
angles: 90.00 90.00 90.00
Element x y z (fractional)
Mn1 0.000 0.000 0.000
Ge1 0.500 0.500 0.500
Te1 0.000 0.500 0.000
Te2 0.500 0.000 0.000
N1 0.000 0.000 0.500

Record 3
Entry from Alexandria: MnGeTeN2 after structural relaxation (PBE-GGA).

Output
Total magnetic moment   0.00 μB per atom
Raw total energy   -29.46 eV for the cell shown
Crystal system   tetragonal
Density of states at the Fermi level   3.2 states/eV per cell
Space-group type   P4/mmm (123)

abc: 3.785 3.785 5.389
angles: 90.00 90.00 90.00
Element x y z (fractional)
Mn1 0.000 0.000 0.000
Ge1 0.500 0.500 0.500
Te1 0.000 0.000 0.500
N1 0.000 0.500 0.000
N2 0.500 0.000 0.000

Record 4
Entry from Alexandria: MnGeTe2N after structural relaxation (PBE-GGA).

Output
Total magnetic moment   0.95 μB per atom
Raw total energy   -24.70 eV for the cell shown
Crystal system   tetragonal
Density of states at the Fermi level   2.0 states/eV per cell
Space-group type   P4/mmm (123)

abc: 5.677 5.677 3.522
angles: 90.00 90.00 90.00
Element x y z (fractional)
Mn1 0.000 0.000 0.000
Ge1 0.500 0.500 0.500
Te1 0.000 0.500 0.500
Te2 0.500 0.000 0.500
N1 0.500 0.500 0.000

Record 5
Entry from Alexandria: Th2Mn2Ge2N after structural relaxation (PBE-GGA).

Output
Total magnetic moment   0.00 μB per atom
Raw total energy   -111.64 eV for the cell shown
Crystal system   monoclinic
Density of states at the Fermi level   10.6 states/eV per cell
Space-group type   C2/m (12)

abc: 11.068 4.054 7.058
angles: 90.00 128.79 90.00
Element x y z (fractional)
Th1 0.053 0.000 0.286
Th2 0.447 0.500 0.714
Th3 0.553 0.500 0.286
Th4 0.947 0.000 0.714
Mn1 0.190 0.500 0.079
Mn2 0.310 0.000 0.921
Mn3 0.690 0.000 0.079
Mn4 0.810 0.500 0.921
Ge1 0.170 0.500 0.715
Ge2 0.330 0.000 0.285
Ge3 0.670 0.000 0.715
Ge4 0.830 0.500 0.285
N1 0.000 0.500 0.000
N2 0.500 0.000 0.000

Record 6
Entry from Alexandria: U2Mn4Ge2N after structural relaxation (PBE-GGA).

Output
Total magnetic moment   0.29 μB per atom
Raw total energy   -77.56 eV for the cell shown
Crystal system   tetragonal
Density of states at the Fermi level   8.9 states/eV per cell
Space-group type   I4/mmm (139)

abc: 5.632 5.632 5.632
angles: 118.59 118.59 92.47
Element x y z (fractional)
U1 0.221 0.221 0.000
U2 0.779 0.779 0.000
Mn1 0.245 0.245 0.489
Mn2 0.245 0.755 0.000
Mn3 0.755 0.245 0.000
Mn4 0.755 0.755 0.511
Ge1 0.250 0.750 0.500
Ge2 0.750 0.250 0.500
N1 0.500 0.500 0.000

Record 7
Entry from Alexandria: Mn2VGeN after structural relaxation (PBE-GGA).

Output
Total magnetic moment   0.54 μB per atom
Raw total energy   -42.21 eV for the cell shown
Crystal system   tetragonal
Density of states at the Fermi level   4.0 states/eV per cell
Space-group type   P4/mmm (123)

abc: 3.796 3.796 3.976
angles: 90.00 90.00 90.00
Element x y z (fractional)
Mn1 0.000 0.500 0.000
Mn2 0.500 0.000 0.000
V1 0.000 0.000 0.500
Ge1 0.500 0.500 0.500
N1 0.000 0.000 0.000

Record 8
Entry from Alexandria: MnV2GeN after structural relaxation (PBE-GGA).

Output
Total magnetic moment   0.30 μB per atom
Raw total energy   -42.78 eV for the cell shown
Crystal system   tetragonal
Density of states at the Fermi level   4.3 states/eV per cell
Space-group type   P4/mmm (123)

abc: 3.934 3.934 3.860
angles: 90.00 90.00 90.00
Element x y z (fractional)
Mn1 0.000 0.000 0.000
V1 0.000 0.500 0.500
V2 0.500 0.000 0.500
Ge1 0.500 0.500 0.000
N1 0.000 0.000 0.500

Record 9
Entry from Alexandria: Y2MnGeN after structural relaxation (PBE-GGA).

Output
Total magnetic moment   0.36 μB per atom
Raw total energy   -39.04 eV for the cell shown
Crystal system   tetragonal
Density of states at the Fermi level   3.1 states/eV per cell
Space-group type   P4/mmm (123)

abc: 4.899 4.899 3.739
angles: 90.00 90.00 90.00
Element x y z (fractional)
Y1 0.000 0.500 0.000
Y2 0.500 0.000 0.000
Mn1 0.000 0.000 0.500
Ge1 0.500 0.500 0.500
N1 0.000 0.000 0.000

Record 10
Entry from Alexandria: YMn2GeN after structural relaxation (PBE-GGA).

Output
Total magnetic moment   0.54 μB per atom
Raw total energy   -82.50 eV for the cell shown
Crystal system   orthorhombic
Density of states at the Fermi level   5.8 states/eV per cell
Space-group type   Cmcm (63)

abc: 5.675 5.675 7.162
angles: 90.00 90.00 142.54
Element x y z (fractional)
Y1 0.041 0.959 0.750
Y2 0.959 0.041 0.250
Mn1 0.336 0.664 0.555
Mn2 0.336 0.664 0.945
Mn3 0.664 0.336 0.055
Mn4 0.664 0.336 0.445
Ge1 0.235 0.765 0.250
Ge2 0.765 0.235 0.750
N1 0.500 0.500 0.000
N2 0.500 0.500 0.500

Record 11
Entry from Alexandria: Mn4ZnGeN after structural relaxation (PBE-GGA).

Output
Total magnetic moment   1.29 μB per atom
Raw total energy   -102.48 eV for the cell shown
Crystal system   orthorhombic
Density of states at the Fermi level   11.2 states/eV per cell
Space-group type   Cmcm (63)

abc: 6.990 6.990 5.287
angles: 90.00 90.00 135.93
Element x y z (fractional)
Mn1 0.000 0.500 0.000
Mn2 0.000 0.500 0.500
Mn3 0.085 0.915 0.750
Mn4 0.408 0.592 0.750
Mn5 0.500 0.000 0.000
Mn6 0.500 0.000 0.500
Mn7 0.592 0.408 0.250
Mn8 0.915 0.085 0.250
Zn1 0.396 0.604 0.250
Zn2 0.604 0.396 0.750
Ge1 0.107 0.893 0.250
Ge2 0.893 0.107 0.750
N1 0.247 0.753 0.750
N2 0.753 0.247 0.250

Record 12
Entry from Alexandria: NaMnGe2 after structural relaxation (PBE-GGA).

Output
Formation energy   0.202 eV/atom
Total magnetic moment   0.96 μB per atom
Raw total energy   -75.66 eV for the cell shown
Crystal system   cubic
Density of states at the Fermi level   7.2 states/eV per cell
Space-group type   Fm-3m (225)

abc: 6.611 6.611 6.611
angles: 90.00 90.00 90.00
Element x y z (fractional)
Na1 0.000 0.000 0.000
Na2 0.000 0.500 0.500
Na3 0.500 0.000 0.500
Na4 0.500 0.500 0.000
Mn1 0.000 0.000 0.500
Mn2 0.000 0.500 0.000
Mn3 0.500 0.000 0.000
Mn4 0.500 0.500 0.500
Ge1 0.250 0.250 0.250
Ge2 0.250 0.250 0.750
Ge3 0.250 0.750 0.250
Ge4 0.250 0.750 0.750
Ge5 0.750 0.250 0.250
Ge6 0.750 0.250 0.750
Ge7 0.750 0.750 0.250
Ge8 0.750 0.750 0.750

Record 13
Entry from Alexandria: Na2MnGe2 after structural relaxation (PBE-GGA).

Output
Formation energy   0.051 eV/atom
Total magnetic moment   0.66 μB per atom
Raw total energy   -41.57 eV for the cell shown
Crystal system   tetragonal
Density of states at the Fermi level   6.5 states/eV per cell
Space-group type   P4/mbm (127)

abc: 6.588 6.588 4.903
angles: 90.00 90.00 90.00
Element x y z (fractional)
Na1 0.173 0.327 0.000
Na2 0.327 0.827 0.000
Na3 0.673 0.173 0.000
Na4 0.827 0.673 0.000
Mn1 0.000 0.000 0.500
Mn2 0.500 0.500 0.500
Ge1 0.136 0.636 0.500
Ge2 0.364 0.136 0.500
Ge3 0.636 0.864 0.500
Ge4 0.864 0.364 0.500